# Ce2Sm3Hg7

A relaxed structure of Ce2Sm3Hg7 (GGA-PBE, Alexandria).

* E_form: -305 kJ/mol of formula units
* magnetization: 2.4 Bohr magnetons per cell
* DOS at the Fermi energy: 20.1 states/eV/f.u.
* space-group type: No. 65

a b c (Å): 5.429 5.244 12.307
angles (deg): 102.30 90.00 90.00
Atoms (fractional coordinates):
Sm 0.500 0.500 0.000
Hg 0.000 0.574 0.147
Hg 0.500 0.079 0.159
Sm 0.500 0.336 0.672
Hg 0.000 0.723 0.447
Hg 0.000 0.277 0.553
Hg 0.000 0.426 0.853
Ce 0.000 0.855 0.711
Ce 0.000 0.145 0.289
Hg 0.500 0.921 0.841
Sm 0.500 0.664 0.328
Hg 0.000 0.000 0.000